Record 1
# K3Na7Cd4 (PBE, optimized geometry)
data_K3Na7Cd4
_chemical_formula_sum 'K3 Na7 Cd4'
_cell_length_a 9.981
_cell_length_b 9.981
_cell_length_c 12.720
_cell_angle_alpha 126.56
_cell_angle_beta 126.56
_cell_angle_gamma 31.39
_symmetry_space_group_name_H-M 'P 1'
_symmetry_Int_Tables_number 1
loop_
_symmetry_equiv_pos_as_xyz
'x,y,z'
loop_
_atom_site_label
_atom_site_fract_x
_atom_site_fract_y
_atom_site_fract_z
K1 0.000 0.000 0.000
K2 0.305 0.305 0.284
K3 0.695 0.695 0.716
Na1 0.000 0.000 0.500
Na2 0.164 0.164 0.420
Na3 0.320 0.320 0.987
Na4 0.481 0.481 0.691
Na5 0.519 0.519 0.309
Na6 0.680 0.680 0.013
Na7 0.836 0.836 0.580
Cd1 0.101 0.101 0.821
Cd2 0.336 0.336 0.742
Cd3 0.664 0.664 0.258
Cd4 0.899 0.899 0.179
# Energy of formation from the pure elements (eV/atom): -0.03
# SG: C2/m
# Total energy (eV per atom): -1.182

---

Record 2
# K14NaCd (PBE, optimized geometry)
data_K14NaCd
_chemical_formula_sum 'K14 Na1 Cd1'
_cell_length_a 9.083
_cell_length_b 9.083
_cell_length_c 12.511
_cell_angle_alpha 90.00
_cell_angle_beta 90.00
_cell_angle_gamma 90.00
_symmetry_space_group_name_H-M 'P 1'
_symmetry_Int_Tables_number 1
loop_
_symmetry_equiv_pos_as_xyz
'x,y,z'
loop_
_atom_site_label
_atom_site_fract_x
_atom_site_fract_y
_atom_site_fract_z
K1 0.000 0.000 0.000
K2 0.000 0.500 0.000
K3 0.000 0.500 0.500
K4 0.243 0.243 0.276
K5 0.243 0.243 0.724
K6 0.243 0.757 0.276
K7 0.243 0.757 0.724
K8 0.500 0.000 0.000
K9 0.500 0.000 0.500
K10 0.500 0.500 0.000
K11 0.757 0.243 0.276
K12 0.757 0.243 0.724
K13 0.757 0.757 0.276
K14 0.757 0.757 0.724
Na1 0.500 0.500 0.500
Cd1 0.000 0.000 0.500
# Energy of formation from the pure elements (eV/atom): 0.02
# SG: P4/mmm
# Total energy (eV per atom): -1.084

---

Record 3
# K2Na3Cd (PBE, optimized geometry)
data_K2Na3Cd
_chemical_formula_sum 'K2 Na3 Cd1'
_cell_length_a 8.596
_cell_length_b 8.596
_cell_length_c 8.596
_cell_angle_alpha 142.32
_cell_angle_beta 134.02
_cell_angle_gamma 60.90
_symmetry_space_group_name_H-M 'P 1'
_symmetry_Int_Tables_number 1
loop_
_symmetry_equiv_pos_as_xyz
'x,y,z'
loop_
_atom_site_label
_atom_site_fract_x
_atom_site_fract_y
_atom_site_fract_z
K1 0.214 0.214 0.000
K2 0.786 0.786 0.000
Na1 0.000 0.500 0.500
Na2 0.395 0.895 0.500
Na3 0.605 0.105 0.500
Cd1 0.500 0.500 0.000
# Energy of formation from the pure elements (eV/atom): 0.07
# Energy above the lowest structure with this stoichiometry (eV/atom): 0.0925
# SG: Immm
# Total energy (eV per atom): -1.105

---

Record 4
# K2NaCd (PBE, optimized geometry)
data_K2NaCd
_chemical_formula_sum 'K2 Na1 Cd1'
_cell_length_a 13.991
_cell_length_b 13.991
_cell_length_c 13.991
_cell_angle_alpha 17.14
_cell_angle_beta 17.14
_cell_angle_gamma 17.14
_symmetry_space_group_name_H-M 'P 1'
_symmetry_Int_Tables_number 1
loop_
_symmetry_equiv_pos_as_xyz
'x,y,z'
loop_
_atom_site_label
_atom_site_fract_x
_atom_site_fract_y
_atom_site_fract_z
K1 0.086 0.086 0.086
K2 0.914 0.914 0.914
Na1 0.500 0.500 0.500
Cd1 0.000 0.000 0.000
# Energy of formation from the pure elements (eV/atom): 0.17
# SG: R-3m
# Total energy (eV per atom): -0.942